Entry A
Compound: MgTa2Cd
Source: the Alexandria database
Functional: PBE
Structure: optimized geometry Values from VASP.

Structure (Quantum ESPRESSO input):
```
&SYSTEM
  ibrav = 0, nat = 4, ntyp = 3
/
ATOMIC_SPECIES
Mg 24.30 Mg.upf
Ta 180.95 Ta.upf
Cd 112.41 Cd.upf
ATOMIC_POSITIONS angstrom
Mg 0.000 0.000 0.000
Ta 0.000 0.000 4.961
Ta 0.000 2.574 2.302
Cd 1.541 0.000 2.416
CELL_PARAMETERS angstrom
-1.541 2.574 4.903
1.541 -2.574 4.903
1.541 2.574 -4.903
```

Results
The spin magnetization is 0.00 μB/cell. Its space group is No. 44. Its crystal system is orthorhombic.

***

Entry B
Compound: MgTa2Cd
Source: the Alexandria database
Functional: PBE
Structure: optimized geometry Values from VASP.

Structure (Quantum ESPRESSO input):
```
&SYSTEM
  ibrav = 0, nat = 4, ntyp = 3
/
ATOMIC_SPECIES
Mg 24.30 Mg.upf
Ta 180.95 Ta.upf
Cd 112.41 Cd.upf
ATOMIC_POSITIONS angstrom
Mg 0.000 0.000 0.000
Ta 1.676 1.676 1.676
Ta 5.028 5.028 5.028
Cd 3.352 3.352 3.352
CELL_PARAMETERS angstrom
0.000 3.352 3.352
3.352 0.000 3.352
3.352 3.352 0.000
```

Results
The spin magnetization is 0.00 μB/cell. Its space group is No. 225. Its crystal system is cubic.

***

Entry C
Compound: MgTa2Cd
Source: the Alexandria database
Functional: PBE
Structure: optimized geometry Values from VASP.

Structure (Quantum ESPRESSO input):
```
&SYSTEM
  ibrav = 0, nat = 4, ntyp = 3
/
ATOMIC_SPECIES
Mg 24.30 Mg.upf
Ta 180.95 Ta.upf
Cd 112.41 Cd.upf
ATOMIC_POSITIONS angstrom
Mg 0.000 0.000 0.000
Ta 0.000 0.000 4.612
Ta 1.440 1.440 2.356
Cd 1.440 1.440 6.962
CELL_PARAMETERS angstrom
2.880 0.000 0.000
0.000 2.880 0.000
0.000 0.000 9.326
```

Results
The spin magnetization is 0.00 μB/cell. Its space group is No. 99. Its crystal system is tetragonal.

***

Entry D
Compound: MgTa2Cd
Source: the Alexandria database
Functional: PBE
Structure: optimized geometry Values from VASP.

Structure (Quantum ESPRESSO input):
```
&SYSTEM
  ibrav = 0, nat = 4, ntyp = 3
/
ATOMIC_SPECIES
Mg 24.30 Mg.upf
Ta 180.95 Ta.upf
Cd 112.41 Cd.upf
ATOMIC_POSITIONS angstrom
Mg 0.000 0.000 0.000
Ta 1.432 2.359 1.384
Ta 1.432 2.359 4.233
Cd 0.000 0.000 2.809
CELL_PARAMETERS angstrom
2.863 0.000 0.000
0.000 4.717 0.000
0.000 0.000 5.617
```

Results
The spin magnetization is 0.00 μB/cell. Its space group is No. 47. Its crystal system is orthorhombic.

***

What should be chosen as the least stable of them? Choose entry B.

***

Entry A
Compound: MgTa2Cd
Source: the Alexandria database
Functional: PBE
Structure: optimized geometry Values from VASP.

Structure (Quantum ESPRESSO input):
```
&SYSTEM
  ibrav = 0, nat = 4, ntyp = 3
/
ATOMIC_SPECIES
Mg 24.30 Mg.upf
Ta 180.95 Ta.upf
Cd 112.41 Cd.upf
ATOMIC_POSITIONS angstrom
Mg 0.000 0.000 0.000
Ta 0.000 0.000 7.785
Ta 0.000 0.000 23.342
Cd 0.000 0.000 15.564
CELL_PARAMETERS angstrom
1.466 0.847 10.376
-1.466 0.847 10.376
0.000 -1.693 10.376
```

Results
The spin magnetization is 0.00 μB/cell. Its space group is No. 166. Its crystal system is trigonal.

***

Entry B
Compound: MgTa2Cd
Source: the Alexandria database
Functional: PBE
Structure: optimized geometry Values from VASP.

Structure (Quantum ESPRESSO input):
```
&SYSTEM
  ibrav = 0, nat = 4, ntyp = 3
/
ATOMIC_SPECIES
Mg 24.30 Mg.upf
Ta 180.95 Ta.upf
Cd 112.41 Cd.upf
ATOMIC_POSITIONS angstrom
Mg 0.000 0.000 0.000
Ta 1.998 0.000 2.361
Ta 0.000 1.998 2.361
Cd 0.000 0.000 4.722
CELL_PARAMETERS angstrom
-1.998 1.998 4.722
1.998 -1.998 4.722
1.998 1.998 -4.722
```

Results
The spin magnetization is 0.00 μB/cell. Its space group is No. 139. Its crystal system is tetragonal.

***

Entry C
Compound: MgTa2Cd
Source: the Alexandria database
Functional: PBE
Structure: optimized geometry Values from VASP.

Structure (Quantum ESPRESSO input):
```
&SYSTEM
  ibrav = 0, nat = 4, ntyp = 3
/
ATOMIC_SPECIES
Mg 24.30 Mg.upf
Ta 180.95 Ta.upf
Cd 112.41 Cd.upf
ATOMIC_POSITIONS angstrom
Mg 0.000 0.000 0.000
Ta -0.232 2.515 3.967
Ta 1.839 2.515 1.300
Cd 0.803 0.000 2.633
CELL_PARAMETERS angstrom
2.878 0.000 0.000
0.000 5.030 0.000
-1.272 0.000 5.267
```

Results
The spin magnetization is 0.00 μB/cell. Its space group is No. 10. Its crystal system is monoclinic.

***

Entry D
Compound: MgTa2Cd
Source: the Alexandria database
Functional: PBE
Structure: optimized geometry Values from VASP.

Structure (Quantum ESPRESSO input):
```
&SYSTEM
  ibrav = 0, nat = 4, ntyp = 3
/
ATOMIC_SPECIES
Mg 24.30 Mg.upf
Ta 180.95 Ta.upf
Cd 112.41 Cd.upf
ATOMIC_POSITIONS angstrom
Mg 0.000 0.000 0.000
Ta 1.690 0.000 2.494
Ta 1.690 0.000 7.541
Cd 0.000 0.000 5.017
CELL_PARAMETERS angstrom
1.690 -2.262 0.000
1.690 2.262 0.000
0.000 0.000 10.035
```

Results
The spin magnetization is 0.00 μB/cell. Its space group is No. 65. Its crystal system is orthorhombic.

***

What should be chosen as the least stable of them? Choose entry A.

***

Entry A
Compound: MgTa2Cd
Source: the Alexandria database
Functional: PBE
Structure: optimized geometry Values from VASP.

Structure (Quantum ESPRESSO input):
```
&SYSTEM
  ibrav = 0, nat = 4, ntyp = 3
/
ATOMIC_SPECIES
Mg 24.30 Mg.upf
Ta 180.95 Ta.upf
Cd 112.41 Cd.upf
ATOMIC_POSITIONS angstrom
Mg 0.000 0.000 0.000
Ta 4.502 0.000 2.609
Ta 7.272 0.000 1.661
Cd 1.789 0.000 4.303
CELL_PARAMETERS angstrom
4.950 -1.446 0.000
4.950 1.446 0.000
-0.808 0.000 5.432
```

Results
The spin magnetization is 0.00 μB/cell. Its space group is No. 8. Its crystal system is monoclinic.

***

Entry B
Compound: MgTa2Cd
Source: the Alexandria database
Functional: PBE
Structure: optimized geometry Values from VASP.

Structure (Quantum ESPRESSO input):
```
&SYSTEM
  ibrav = 0, nat = 8, ntyp = 3
/
ATOMIC_SPECIES
Mg 24.30 Mg.upf
Ta 180.95 Ta.upf
Cd 112.41 Cd.upf
ATOMIC_POSITIONS angstrom
Mg 0.000 0.000 0.000
Mg 0.000 3.890 1.351
Ta 1.945 1.980 -0.675
Ta 5.800 1.945 0.675
Ta 1.945 1.910 2.026
Ta -1.910 1.945 3.376
Cd 3.890 0.000 1.351
Cd 0.000 0.000 2.701
CELL_PARAMETERS angstrom
-3.890 3.890 2.701
3.890 -3.890 2.701
3.890 3.890 -2.701
```

Results
The spin magnetization is 0.00 μB/cell. Its space group is No. 122. Its crystal system is tetragonal.

***

Entry C
Compound: MgTa2Cd
Source: the Alexandria database
Functional: PBE
Structure: optimized geometry Values from VASP.

Structure (Quantum ESPRESSO input):
```
&SYSTEM
  ibrav = 0, nat = 4, ntyp = 3
/
ATOMIC_SPECIES
Mg 24.30 Mg.upf
Ta 180.95 Ta.upf
Cd 112.41 Cd.upf
ATOMIC_POSITIONS angstrom
Mg 0.000 0.000 0.000
Ta 1.421 1.421 2.360
Ta 1.421 1.421 7.078
Cd 0.000 0.000 4.719
CELL_PARAMETERS angstrom
2.841 0.000 0.000
0.000 2.841 0.000
0.000 0.000 9.438
```

Results
The spin magnetization is 0.00 μB/cell. Its space group is No. 123. Its crystal system is tetragonal.

***

What should be chosen as the least stable of them? Choose entry B.

***

Entry A
Compound: MgTa2Cd
Source: the Alexandria database
Functional: PBE
Structure: optimized geometry Values from VASP.

Structure (Quantum ESPRESSO input):
```
&SYSTEM
  ibrav = 0, nat = 4, ntyp = 3
/
ATOMIC_SPECIES
Mg 24.30 Mg.upf
Ta 180.95 Ta.upf
Cd 112.41 Cd.upf
ATOMIC_POSITIONS angstrom
Mg 0.000 0.000 0.000
Ta 2.083 0.000 2.186
Ta 0.000 0.000 4.372
Cd 0.000 2.083 2.186
CELL_PARAMETERS angstrom
-2.083 2.083 4.372
2.083 -2.083 4.372
2.083 2.083 -4.372
```

Results
The spin magnetization is 0.00 μB/cell. Its space group is No. 119. Its crystal system is tetragonal.

***

Entry B
Compound: MgTa2Cd
Source: the Alexandria database
Functional: PBE
Structure: optimized geometry Values from VASP.

Structure (Quantum ESPRESSO input):
```
&SYSTEM
  ibrav = 0, nat = 4, ntyp = 3
/
ATOMIC_SPECIES
Mg 24.30 Mg.upf
Ta 180.95 Ta.upf
Cd 112.41 Cd.upf
ATOMIC_POSITIONS angstrom
Mg 0.000 0.000 0.000
Ta 0.000 0.000 3.060
Ta 1.730 1.730 1.823
Cd 1.730 1.730 4.968
CELL_PARAMETERS angstrom
3.460 0.000 0.000
0.000 3.460 0.000
0.000 0.000 6.665
```

Results
The spin magnetization is 0.00 μB/cell. Its space group is No. 99. Its crystal system is tetragonal.

***

Entry C
Compound: MgTa2Cd
Source: the Alexandria database
Functional: PBE
Structure: optimized geometry Values from VASP.

Structure (Quantum ESPRESSO input):
```
&SYSTEM
  ibrav = 0, nat = 4, ntyp = 3
/
ATOMIC_SPECIES
Mg 24.30 Mg.upf
Ta 180.95 Ta.upf
Cd 112.41 Cd.upf
ATOMIC_POSITIONS angstrom
Mg 0.000 0.000 0.000
Ta 0.000 1.994 2.375
Ta 1.994 0.000 2.375
Cd 1.994 1.994 0.000
CELL_PARAMETERS angstrom
3.988 0.000 0.000
0.000 3.988 0.000
0.000 0.000 4.750
```

Results
The spin magnetization is 0.00 μB/cell. Its space group is No. 123. Its crystal system is tetragonal.

***

What should be chosen as the least stable of them? Choose entry A.